No. 1
Density functional theory data (PBE-GGA) for crystalline LaPmPuSn at its relaxed geometry.

Unit cell a=5.526 b=5.526 c=5.526 alpha=60.00 beta=60.00 gamma=60.00
Last column: magnetic moment on the atom in μB.
Atoms (fractional coordinates):
Pu 0.000 0.000 0.000  5.78
La 0.250 0.250 0.250  0.25
Pm 0.750 0.750 0.750  0.25
Sn 0.500 0.500 0.500  -0.08

Summary:
Space group   F-43m
ΔE_f   -0.2008 eV/atom
Crystal system   cubic
Uncorrected energy   -7.204 eV/atom

---

No. 2
Density functional theory data (PBE-GGA) for crystalline La2Tb6Pm3Pu at its relaxed geometry.

Unit cell a=6.245 b=6.245 c=11.853 alpha=95.06 beta=95.06 gamma=120.07
Last column: magnetic moment on the atom in μB.
Atoms (fractional coordinates):
Tb 0.245 0.245 0.751  0.03
Pm 0.167 0.833 0.500  -0.01
La 0.333 0.667 0.000  0.06
Tb 0.755 0.755 0.249  0.03
Pm 0.500 0.500 0.500  -0.01
Tb 0.589 0.917 0.751  0.03
Pu 0.000 0.000 0.000  5.58
Pm 0.833 0.167 0.500  -0.01
Tb 0.411 0.083 0.249  0.03
Tb 0.917 0.589 0.751  0.03
Tb 0.083 0.411 0.249  0.03
La 0.667 0.333 0.000  0.06

Summary:
Space group   C2/m
ΔE_f   0.0438 eV/atom
Crystal system   monoclinic
Uncorrected energy   -5.475 eV/atom

---

No. 3
Density functional theory data (PBE-GGA) for crystalline LaTbPmPu at its relaxed geometry.

Unit cell a=5.709 b=5.709 c=5.709 alpha=60.00 beta=60.00 gamma=60.00
Last column: magnetic moment on the atom in μB.
Atoms (fractional coordinates):
Pm 0.750 0.750 0.750  0.26
Tb 0.000 0.000 0.000  0.33
La 0.250 0.250 0.250  0.29
Pu 0.500 0.500 0.500  5.66

Summary:
Space group   F-43m
ΔE_f   0.2108 eV/atom
Crystal system   cubic
Uncorrected energy   -6.949 eV/atom

---

No. 4
Density functional theory data (PBE-GGA) for crystalline La4Pm3PuTe8 at its relaxed geometry.

Unit cell a=9.040 b=9.042 c=9.042 alpha=120.02 beta=119.99 gamma=90.00
Last column: magnetic moment on the atom in μB.
Atoms (fractional coordinates):
La 0.000 0.000 0.500  -0.02
Te 0.246 0.741 0.492  0.01
Pu 0.000 0.500 0.000  -5.56
La 0.500 0.000 0.500  -0.02
Pm 0.500 0.500 0.500  -0.02
La 0.000 0.000 0.000  -0.02
Te 0.748 0.743 0.495  0.00
Te 0.754 0.259 0.005  0.01
Te 0.251 0.259 0.005  0.01
Te 0.749 0.741 0.995  0.01
Pm 0.000 0.500 0.500  -0.02
Te 0.754 0.259 0.508  0.01
Pm 0.500 0.500 0.000  -0.02
Te 0.246 0.741 0.995  0.01
Te 0.252 0.257 0.505  0.00
La 0.500 0.000 0.000  0.00

Summary:
Space group   R-3m
Formation energy (no corrections)   -1.47 eV/atom
Crystal system   trigonal
Uncorrected energy   -6.058 eV/atom

---

No. 5
Density functional theory data (PBE-GGA) for crystalline La2Pm3PuTe6 at its relaxed geometry.

Unit cell a=4.487 b=9.024 c=10.061 alpha=102.92 beta=102.88 gamma=90.00
Last column: magnetic moment on the atom in μB.
Atoms (fractional coordinates):
Pm 0.500 0.500 0.000  0.01
Pm 0.169 0.836 0.337  0.01
Te 0.997 0.246 0.994  -0.03
La 0.165 0.332 0.330  0.02
Te 0.335 0.922 0.670  -0.01
Pu 0.500 0.000 0.000  5.58
Te 0.665 0.078 0.330  -0.01
Te 0.665 0.588 0.331  0.00
Pm 0.831 0.164 0.663  0.01
Te 0.003 0.754 0.006  -0.03
La 0.835 0.668 0.670  0.02
Te 0.335 0.412 0.669  0.00

Summary:
Space group   C2/m
Formation energy (no corrections)   -1.43 eV/atom
Crystal system   monoclinic
Uncorrected energy   -6.203 eV/atom

---

No. 6
Density functional theory data (PBE-GGA) for crystalline La3PmPu2Te6 at its relaxed geometry.

Unit cell a=7.800 b=7.800 c=7.852 alpha=99.53 beta=99.53 gamma=120.00
Last column: magnetic moment on the atom in μB.
Atoms (fractional coordinates):
Te 0.584 0.920 0.759  -0.03
La 0.500 0.500 0.500  0.04
Te 0.744 0.744 0.240  -0.03
La 0.834 0.166 0.500  0.04
Pu 0.333 0.667 0.000  5.55
La 0.166 0.834 0.500  0.04
Pm 0.000 0.000 0.000  0.05
Te 0.416 0.080 0.241  -0.03
Te 0.920 0.584 0.759  -0.03
Te 0.080 0.416 0.241  -0.03
Pu 0.667 0.333 0.000  5.55
Te 0.256 0.256 0.760  -0.03

Summary:
Space group   C2/m
Formation energy (no corrections)   -1.40 eV/atom
Crystal system   monoclinic
Uncorrected energy   -6.991 eV/atom

---

No. 7
Density functional theory data (PBE-GGA) for crystalline LaPmPuTl at its relaxed geometry.

Unit cell a=5.587 b=5.587 c=5.587 alpha=60.00 beta=60.00 gamma=60.00
Last column: magnetic moment on the atom in μB.
Atoms (fractional coordinates):
Pm 0.500 0.500 0.500  0.44
Tl 0.000 0.000 0.000  -0.01
La 0.250 0.250 0.250  0.23
Pu 0.750 0.750 0.750  5.64

Summary:
Space group   F-43m
ΔE_f   0.0846 eV/atom
Crystal system   cubic
Uncorrected energy   -6.509 eV/atom

---

No. 8
Density functional theory data (PBE-GGA) for crystalline LaPmTmPu at its relaxed geometry.

Unit cell a=5.677 b=5.677 c=5.677 alpha=60.00 beta=60.00 gamma=60.00
Last column: magnetic moment on the atom in μB.
Atoms (fractional coordinates):
Tm 0.750 0.750 0.750  0.30
Pm 0.500 0.500 0.500  0.23
Pu 0.000 0.000 0.000  5.66
La 0.250 0.250 0.250  0.29

Summary:
Space group   F-43m
ΔE_f   0.2221 eV/atom
Crystal system   cubic
Uncorrected energy   -6.898 eV/atom

---

No. 9
Density functional theory data (PBE-GGA) for crystalline RbLaPm4S8 at its relaxed geometry.

Unit cell a=8.468 b=8.468 c=8.574 alpha=60.41 beta=60.41 gamma=60.00
Atoms (fractional coordinates):
S 0.230 0.755 0.261
Pm 0.625 0.625 0.124
S 0.805 0.235 0.726
Pm 0.488 0.004 0.504
S 0.757 0.757 0.729
S 0.231 0.231 0.307
Rb 0.373 0.373 0.881
S 0.235 0.235 0.726
Pm 0.004 0.004 0.504
S 0.235 0.805 0.726
S 0.755 0.755 0.261
Pm 0.004 0.488 0.504
S 0.755 0.230 0.261
La 0.004 0.004 0.989

Summary:
Space group   R3m
Formation energy (no corrections)   -1.91 eV/atom
Crystal system   trigonal
Uncorrected energy   -6.052 eV/atom

---

No. 10
Density functional theory data (PBE-GGA) for crystalline Rb2LaPmS4 at its relaxed geometry.

Unit cell a=4.258 b=7.378 c=8.084 alpha=107.69 beta=90.00 gamma=90.00
Atoms (fractional coordinates):
S 0.000 0.727 0.196
Pm 0.500 0.500 0.000
S 0.500 0.762 0.803
Rb 0.000 0.500 0.500
S 0.000 0.273 0.804
Rb 0.500 0.000 0.500
S 0.500 0.238 0.197
La 0.000 0.000 0.000

Summary:
Space group   P2/m
Formation energy (no corrections)   -1.87 eV/atom
Crystal system   monoclinic
Uncorrected energy   -5.380 eV/atom

---

No. 11
Density functional theory data (PBE-GGA) for crystalline Rb3La2PmS6 at its relaxed geometry.

Unit cell a=7.414 b=7.414 c=8.084 alpha=98.79 beta=98.79 gamma=120.00
Atoms (fractional coordinates):
La 0.667 0.333 0.000
S 0.738 0.738 0.197
S 0.394 0.066 0.197
Rb 0.833 0.167 0.500
S 0.606 0.934 0.803
La 0.333 0.667 0.000
Rb 0.167 0.833 0.500
S 0.066 0.394 0.197
Pm 0.000 0.000 0.000
S 0.262 0.262 0.803
S 0.934 0.606 0.803
Rb 0.500 0.500 0.500

Summary:
Space group   C2/m
Formation energy (no corrections)   -1.88 eV/atom
Crystal system   monoclinic
Uncorrected energy   -5.399 eV/atom

---

No. 12
Density functional theory data (PBE-GGA) for crystalline Rb2LaPmSe4 at its relaxed geometry.

Unit cell a=4.408 b=7.639 c=8.404 alpha=107.60 beta=90.00 gamma=90.00
Atoms (fractional coordinates):
Se 0.500 0.761 0.799
Se 0.000 0.729 0.200
La 0.000 0.000 0.000
Se 0.000 0.271 0.800
Rb 0.500 0.000 0.500
Se 0.500 0.239 0.201
Rb 0.000 0.500 0.500
Pm 0.500 0.500 0.000

Summary:
Space group   P2/m
Formation energy (no corrections)   -1.78 eV/atom
Crystal system   monoclinic
Uncorrected energy   -4.970 eV/atom